(1)
Density functional theory data (PBE) for a geometry-optimized GaPdI2N structure.

POSCAR file:
```
GaPdI2N
1.0
5.851 0.000 0.000
0.000 5.851 0.000
0.000 0.000 3.803
I Ga N Pd
2 1 1 1
Cartesian
2.926 0.000 0.000
0.000 2.926 0.000
2.926 2.926 1.902
0.000 0.000 1.902
0.000 0.000 0.000
```

ΔE_f (raw)	0.4552	eV per atom
symmetry	P4/mmm, No. 123
final energy	-17.4	eV for the cell shown
relative energy among the computed polymorphs	0	meV per atom
total moment	0.0	μB per formula unit
density of states at the Fermi level	2.1	states/eV per cell


(2)
Density functional theory data (PBE) for a geometry-optimized K2In3Ag structure.

POSCAR file:
```
K2In3Ag
1.0
1.289 6.114 -1.164
-2.619 -3.693 -4.460
-4.694 -1.472 3.967
K In Ag
2 3 1
Cartesian
-5.433 -2.072 0.393
-0.592 3.021 -2.050
-2.347 -0.736 1.984
-3.012 0.475 -0.828
-1.703 2.321 1.402
0.000 0.000 0.000
```

symmetry	C2/m, No. 12
final energy	-13.8	eV for the cell shown
total moment	0.0	μB per formula unit
E_form	-85	meV/atom
density of states at the Fermi level	3.3	states/eV per cell


(3)
Density functional theory data (PBE) for a geometry-optimized Ti3Cu2TeP6O24 structure.

POSCAR file:
```
Ti3Cu2TeP6O24
1.0
8.745 0.000 0.000
4.372 7.573 0.000
4.372 2.524 7.136
O P Ti Cu Te
24 6 3 2 1
Cartesian
12.275 8.958 6.596
5.331 3.797 0.549
9.340 6.455 1.840
12.568 3.968 5.398
9.495 8.638 3.069
7.973 3.694 5.421
12.074 6.078 4.066
5.897 2.278 5.398
7.229 4.861 1.840
9.664 3.830 1.840
11.461 7.837 1.600
7.957 6.394 5.421
5.261 3.904 3.069
2.791 2.718 0.549
4.995 1.058 0.549
7.769 8.901 5.398
4.972 6.007 1.600
6.189 7.417 4.066
12.338 6.152 6.596
9.801 1.302 1.600
14.737 7.609 6.596
10.303 5.058 5.421
11.478 2.604 3.069
7.971 1.651 4.066
5.693 4.636 1.779
7.447 2.239 5.393
6.960 7.577 5.393
11.827 5.330 5.393
9.913 7.898 1.779
10.628 2.612 1.779
8.745 5.049 0.529
8.745 5.049 6.638
4.372 2.524 4.116
4.372 2.524 7.000
8.745 5.049 3.580
13.117 7.573 3.018
```

ΔE_f (raw)	-2.1371	eV per atom
symmetry	R3, No. 146
final energy	-263.4	eV for the cell shown
total moment	0.1	μB per formula unit
density of states at the Fermi level	6.2	states/eV per cell


(4)
Density functional theory data (PBE) for a geometry-optimized BeNbRh structure.

POSCAR file:
```
BeNbRh
1.0
-1.968 -2.543 0.881
5.085 -3.996 -0.175
2.045 2.133 10.724
Rh Nb Be
6 6 6
Cartesian
1.430 -2.715 1.668
1.547 -0.455 8.449
1.956 -2.166 4.426
3.616 -3.951 2.981
3.206 -2.240 7.004
3.732 -1.691 9.761
2.286 0.234 5.781
1.274 -0.066 2.655
4.845 -2.097 4.768
3.133 1.118 10.224
5.856 -1.796 7.894
3.997 -2.981 0.325
-0.530 -1.285 1.417
3.791 -0.174 7.965
5.046 -3.796 6.622
5.693 -3.121 10.013
0.117 -0.610 4.808
3.339 -1.689 2.584
```

symmetry	Pmma, No. 51
final energy	-135.5	eV for the cell shown
relative energy among the computed polymorphs	0	meV per atom
total moment	0.0	μB per formula unit
E_form	-476	meV/atom
density of states at the Fermi level	11.2	states/eV per cell


(5)
Density functional theory data (PBE) for a geometry-optimized YNb2Cd2 structure.

POSCAR file:
```
YNb2Cd2
1.0
8.146 0.000 0.000
0.000 8.146 0.000
0.000 0.000 3.305
Cd Y Nb
4 2 4
Cartesian
5.108 1.035 0.000
3.038 7.111 0.000
1.035 3.038 0.000
7.111 5.108 0.000
0.000 0.000 0.000
4.073 4.073 0.000
2.679 1.394 1.652
5.467 6.752 1.652
1.394 5.467 1.652
6.752 2.679 1.652
```

symmetry	P4/mbm, No. 127
final energy	-52.9	eV for the cell shown
relative energy among the computed polymorphs	214	meV per atom
total moment	0.0	μB per formula unit
E_form	398	meV/atom
density of states at the Fermi level	12.0	states/eV per cell


(6)
Density functional theory data (PBE) for a geometry-optimized Nd8ZnSe4S3 structure.

POSCAR file:
```
Nd8ZnSe4S3
1.0
8.306 0.000 0.000
0.000 8.407 0.063
-4.153 -4.150 5.877
Se Nd S Zn
4 8 3 1
Cartesian
0.000 0.000 0.000
4.153 0.000 0.000
-2.077 -2.075 2.939
2.077 -2.075 2.939
4.153 4.119 2.907
-2.049 2.100 5.867
0.000 0.138 3.034
2.049 2.100 5.867
4.153 0.110 2.974
0.000 4.147 2.967
2.104 2.156 0.074
6.202 2.156 0.074
-2.077 2.128 2.970
4.153 4.203 0.032
2.077 2.128 2.970
0.000 4.203 0.032
```

ΔE_f (raw)	-1.7195	eV per atom
symmetry	R-3m, No. 166
final energy	-93.2	eV for the cell shown
total moment	0.0	μB per formula unit
density of states at the Fermi level	8.5	states/eV per cell


> density of states at the Fermi level of number 2 (K2In3Ag)?

3.3 states/eV per cell